## w
Entry from Alexandria: crystalline Ti4IrPd at its relaxed geometry (PBE-GGA).

Unit cell a=4.296 b=4.297 c=6.089 alpha=89.98 beta=89.99 gamma=90.00
Sites, in units of the cell vectors:
Ti 0.501 0.997 0.255
Ti 0.001 0.497 0.741
Ti 0.001 0.497 0.255
Ti 0.501 0.998 0.741
Ir 0.001 0.997 0.498
Pd 0.501 0.497 0.998

Calculated values
Its space group is P4/mmm (123).


## x
Entry from Alexandria: crystalline Ti4IrPd at its relaxed geometry (PBE-GGA).

Unit cell a=3.080 b=3.080 c=9.972 alpha=90.00 beta=90.00 gamma=90.00
Sites, in units of the cell vectors:
Ti 0.500 0.500 0.168
Ti 0.000 0.000 0.340
Ti 0.000 0.000 0.660
Ti 0.500 0.500 0.832
Ir 0.500 0.500 0.500
Pd 0.000 0.000 0.000

Calculated values
Its space group is P4/mmm (123).


Most stable structure: x


## w
Entry from Alexandria: crystalline TiIr3Pd at its relaxed geometry (PBE-GGA).

Unit cell a=4.545 b=4.545 c=4.545 alpha=90.00 beta=90.00 gamma=90.00
Sites, in units of the cell vectors:
Ir 0.000 0.500 0.000
Ir 0.000 0.000 0.500
Ir 0.500 0.000 0.000
Ti 0.000 0.000 0.000
Pd 0.500 0.500 0.500

Calculated values
Its space group is Pm-3m (221).


## x
Entry from Alexandria: crystalline TiIr3Pd at its relaxed geometry (PBE-GGA).

Unit cell a=4.688 b=4.688 c=4.688 alpha=90.00 beta=90.00 gamma=90.00
Sites, in units of the cell vectors:
Ir 0.500 0.000 0.000
Ir 0.000 0.000 0.500
Ir 0.000 0.500 0.000
Ti 0.500 0.500 0.500
Pd 0.000 0.000 0.000

Calculated values
Its space group is Pm-3m (221).


Most stable structure: w